4
Lattice="-3.3493 -2.6715 1.7641 -4.4464 1.0347 -0.7907 -2.5402 -2.6807 -2.7979" Properties=species:S:1:pos:R:3 comment="Hg2PH PBE relaxed" energy_ha_per_atom=-0.0583 dos_at_fermi_per_ev_atom=0.3401 e_above_lowest_polymorph_mev_per_atom=316 pbc="T T T"
H 0.0000 0.0000 0.0000
P -5.1679 -2.1587 -0.9122
Hg -2.5840 -1.0794 -0.4561
Hg -7.7519 -3.2381 -1.3683